{"formula": "VZnAs2O7", "functional": "PBE+U", "state": "optimized geometry", "cell": [[8.040, 0.000, 0.000], [0.000, 7.970, 0.050], [0.000, 5.884, 9.435]], "species": ["O", "O", "Zn", "V", "As", "O", "O", "O", "O", "O", "O", "O", "O", "O", "O", "As", "O", "As", "O", "As", "As", "O", "O", "O", "O", "O", "As", "O", "O", "O", "O", "O", "As", "Zn", "O", "Zn", "O", "Zn", "V", "O", "As", "V", "V", "O"], "frac_coords": [[0.948, 0.532, 0.876], [0.600, 0.948, 0.389], [0.050, 0.741, 0.896], [0.438, 0.804, 0.791], [0.804, 0.957, 0.467], [0.400, 0.052, 0.611], [0.780, 0.307, 0.798], [0.616, 0.643, 0.788], [0.384, 0.357, 0.212], [0.660, 0.680, 0.084], [0.052, 0.468, 0.124], [0.720, 0.307, 0.298], [0.575, 0.983, 0.823], [0.840, 0.680, 0.584], [0.075, 0.017, 0.677], [0.696, 0.957, 0.967], [0.220, 0.693, 0.202], [0.304, 0.043, 0.033], [0.448, 0.468, 0.624], [0.292, 0.459, 0.733], [0.196, 0.043, 0.533], [0.116, 0.357, 0.712], [0.925, 0.983, 0.323], [0.706, 0.252, 0.081], [0.294, 0.748, 0.919], [0.900, 0.948, 0.889], [0.208, 0.459, 0.233], [0.160, 0.320, 0.416], [0.206, 0.748, 0.419], [0.340, 0.320, 0.916], [0.100, 0.052, 0.111], [0.280, 0.693, 0.702], [0.708, 0.541, 0.267], [0.950, 0.259, 0.104], [0.884, 0.643, 0.288], [0.450, 0.741, 0.396], [0.552, 0.532, 0.376], [0.550, 0.259, 0.604], [0.938, 0.196, 0.709], [0.425, 0.017, 0.177], [0.792, 0.541, 0.767], [0.562, 0.196, 0.209], [0.062, 0.804, 0.291], [0.794, 0.252, 0.581]], "crystal_system": "monoclinic", "e_tot_ha_per_atom": -0.22808, "vol_a3_per_cell": 602.2}